# 1
DFT (PBE) results for an optimized crystal structure of Tb2Al2SnPd5.

Output
total energy: -5.446 eV/atom
energy relative to the elements: -775 meV per atom
N(E_F): 6.0 states/eV/f.u.
symmetry: P4/mbm
volume: 187 Å³/f.u.

Cell and atoms, written as CIF:
```
data_Tb2Al2SnPd5
_chemical_formula_sum 'Tb4 Al4 Sn2 Pd10'
_symmetry_space_group_name_H-M 'P 1'
_symmetry_Int_Tables_number 1
_symmetry_space_group_name_Hall 'P 1'
_cell_length_a 3.6935
_cell_length_b 10.0585
_cell_length_c 10.0585
_cell_angle_alpha 90.00
_cell_angle_beta 90.00
_cell_angle_gamma 90.00
loop_
_atom_site_label
_atom_site_fract_x
_atom_site_fract_y
_atom_site_fract_z
Sn1 0.0000 0.0000 0.0000
Sn2 0.0000 0.5000 0.5000
Pd1 0.5000 0.7857 0.9383
Pd2 0.5000 0.0000 0.5000
Pd3 0.5000 0.5617 0.7143
Pd4 0.5000 0.5000 0.0000
Pd5 0.5000 0.4383 0.2857
Pd6 0.5000 0.0617 0.7857
Pd7 0.5000 0.7143 0.4383
Pd8 0.5000 0.2143 0.0617
Pd9 0.5000 0.9383 0.2143
Pd10 0.5000 0.2857 0.5617
Al1 0.0000 0.8844 0.3844
Al2 0.0000 0.6156 0.8844
Al3 0.0000 0.3844 0.1156
Al4 0.0000 0.1156 0.6156
Tb1 0.0000 0.1810 0.3190
Tb2 0.0000 0.6810 0.1810
Tb3 0.0000 0.3190 0.8190
Tb4 0.0000 0.8190 0.6810
```

=====

# 2
DFT (PBE) results for an optimized crystal structure of TbAlSn2Pd4.

Output
total energy: -5.376 eV/atom
energy relative to the elements: -733 meV per atom
N(E_F): 3.2 states/eV/f.u.
symmetry: R-3m
volume: 150 Å³/f.u.

Cell and atoms, written as CIF:
```
data_TbAlSn2Pd4
_chemical_formula_sum 'Tb1 Al1 Sn2 Pd4'
_symmetry_space_group_name_H-M 'P 1'
_symmetry_Int_Tables_number 1
_symmetry_space_group_name_Hall 'P 1'
_cell_length_a 4.5446
_cell_length_b 4.5446
_cell_length_c 8.7888
_cell_angle_alpha 75.02
_cell_angle_beta 75.02
_cell_angle_gamma 60.00
loop_
_atom_site_label
_atom_site_fract_x
_atom_site_fract_y
_atom_site_fract_z
Pd1 0.1375 0.1375 0.5875
Pd2 0.8625 0.8625 0.4125
Pd3 0.3992 0.3992 0.8023
Pd4 0.6008 0.6008 0.1977
Al1 0.5000 0.5000 0.5000
Sn1 0.2497 0.2497 0.2508
Sn2 0.7503 0.7503 0.7492
Tb1 0.0000 0.0000 0.0000
```

=====

# 3
DFT (PBE) results for an optimized crystal structure of Th2Al4SnPd3.

Output
total energy: -5.681 eV/atom
energy relative to the elements: -742 meV per atom
N(E_F): 4.1 states/eV/f.u.
symmetry: P-4m2
volume: 202 Å³/f.u.

Cell and atoms, written as CIF:
```
data_Th2Al4SnPd3
_chemical_formula_sum 'Th2 Al4 Sn1 Pd3'
_symmetry_space_group_name_H-M 'P 1'
_symmetry_Int_Tables_number 1
_symmetry_space_group_name_Hall 'P 1'
_cell_length_a 4.3325
_cell_length_b 4.3325
_cell_length_c 10.7358
_cell_angle_alpha 90.00
_cell_angle_beta 90.00
_cell_angle_gamma 90.00
loop_
_atom_site_label
_atom_site_fract_x
_atom_site_fract_y
_atom_site_fract_z
Pd1 0.0000 0.5000 0.1249
Pd2 0.5000 0.0000 0.8751
Pd3 0.0000 0.0000 0.5000
Th1 0.0000 0.5000 0.7618
Th2 0.5000 0.0000 0.2382
Sn1 0.5000 0.5000 0.5000
Al1 0.0000 0.0000 0.0000
Al2 0.5000 0.5000 0.0000
Al3 0.5000 0.0000 0.6493
Al4 0.0000 0.5000 0.3507
```

=====

# 4
DFT (PBE) results for an optimized crystal structure of Tm2Al2SnPd5.

Output
total energy: -5.430 eV/atom
energy relative to the elements: -791 meV per atom
N(E_F): 5.8 states/eV/f.u.
symmetry: P4/mbm
volume: 183 Å³/f.u.

Cell and atoms, written as CIF:
```
data_Tm2Al2SnPd5
_chemical_formula_sum 'Tm4 Al4 Sn2 Pd10'
_symmetry_space_group_name_H-M 'P 1'
_symmetry_Int_Tables_number 1
_symmetry_space_group_name_Hall 'P 1'
_cell_length_a 3.6823
_cell_length_b 9.9592
_cell_length_c 9.9592
_cell_angle_alpha 90.00
_cell_angle_beta 90.00
_cell_angle_gamma 90.00
loop_
_atom_site_label
_atom_site_fract_x
_atom_site_fract_y
_atom_site_fract_z
Pd1 0.5000 0.5000 0.0000
Pd2 0.5000 0.7126 0.4352
Pd3 0.5000 0.5648 0.7126
Pd4 0.5000 0.2126 0.0648
Pd5 0.5000 0.4352 0.2874
Pd6 0.5000 0.9352 0.2126
Pd7 0.5000 0.2874 0.5648
Pd8 0.5000 0.0000 0.5000
Pd9 0.5000 0.7874 0.9352
Pd10 0.5000 0.0648 0.7874
Tm1 0.0000 0.6789 0.1789
Tm2 0.0000 0.1789 0.3211
Tm3 0.0000 0.8211 0.6789
Tm4 0.0000 0.3211 0.8211
Al1 0.0000 0.8823 0.3823
Al2 0.0000 0.6177 0.8823
Al3 0.0000 0.3823 0.1177
Al4 0.0000 0.1177 0.6177
Sn1 0.0000 0.0000 0.0000
Sn2 0.0000 0.5000 0.5000
```

=====

# 5
DFT (PBE) results for an optimized crystal structure of AlV2SnPd.

Output
total energy: -5.318 eV/atom
energy relative to the elements: 917 meV per atom
N(E_F): 8.9 states/eV/f.u.
symmetry: P4/mmm
volume: 117 Å³/f.u.

Cell and atoms, written as CIF:
```
data_AlV2SnPd
_chemical_formula_sum 'Al1 V2 Sn1 Pd1'
_symmetry_space_group_name_H-M 'P 1'
_symmetry_Int_Tables_number 1
_symmetry_space_group_name_Hall 'P 1'
_cell_length_a 4.8601
_cell_length_b 4.9330
_cell_length_c 4.8601
_cell_angle_alpha 90.00
_cell_angle_beta 90.00
_cell_angle_gamma 90.00
loop_
_atom_site_label
_atom_site_fract_x
_atom_site_fract_y
_atom_site_fract_z
Pd1 0.0000 0.0000 0.0000
V1 0.0000 0.0000 0.5000
V2 0.5000 0.0000 0.0000
Sn1 0.0000 0.5000 0.0000
Al1 0.5000 0.5000 0.5000
```

=====

# 6
DFT (PBE) results for an optimized crystal structure of YAlSn2Pd4.

Output
total energy: -5.609 eV/atom
energy relative to the elements: -736 meV per atom
N(E_F): 3.2 states/eV/f.u.
symmetry: R-3m
volume: 150 Å³/f.u.

Cell and atoms, written as CIF:
```
data_YAlSn2Pd4
_chemical_formula_sum 'Y1 Al1 Sn2 Pd4'
_symmetry_space_group_name_H-M 'P 1'
_symmetry_Int_Tables_number 1
_symmetry_space_group_name_Hall 'P 1'
_cell_length_a 4.5471
_cell_length_b 4.5471
_cell_length_c 8.7611
_cell_angle_alpha 74.96
_cell_angle_beta 74.96
_cell_angle_gamma 60.00
loop_
_atom_site_label
_atom_site_fract_x
_atom_site_fract_y
_atom_site_fract_z
Pd1 0.1373 0.1373 0.5882
Pd2 0.6008 0.6008 0.1975
Pd3 0.8627 0.8627 0.4118
Pd4 0.3992 0.3992 0.8025
Sn1 0.7500 0.7500 0.7499
Sn2 0.2500 0.2500 0.2501
Al1 0.5000 0.5000 0.5000
Y1 0.0000 0.0000 0.0000
```